No. 1
## LiPrHgS3 (PBE-GGA)

Data for a geometry-optimized LiPrHgS3 structure.

Cell: 4.099 6.622 11.205 Å, 90.00 90.00 71.97°
Positions (direct):
1 S 0.904 0.192 0.250
2 S 0.096 0.808 0.750
3 S 0.647 0.706 0.063
4 S 0.353 0.294 0.563
5 S 0.353 0.294 0.937
6 S 0.647 0.706 0.437
7 Pr 0.000 0.000 0.000
8 Pr 0.000 0.000 0.500
9 Hg 0.543 0.915 0.250
10 Hg 0.457 0.085 0.750
11 Li 0.729 0.543 0.750
12 Li 0.271 0.457 0.250

Output
- ΔE to the lowest computed polymorph: 2.49 kcal/mol of atoms


No. 2
## LiPrHgTe3 (PBE-GGA)

Data for a geometry-optimized LiPrHgTe3 structure.

Cell: 13.016 4.456 13.444 Å, 90.00 90.00 90.00°
Positions (direct):
1 Pr 0.682 0.000 0.053
2 Pr 0.182 0.500 0.447
3 Pr 0.818 0.000 0.553
4 Pr 0.318 0.500 0.947
5 Te 0.863 0.500 0.063
6 Te 0.927 0.500 0.421
7 Te 0.637 0.500 0.563
8 Te 0.573 0.500 0.921
9 Te 0.073 0.000 0.579
10 Te 0.137 0.000 0.937
11 Te 0.857 0.000 0.785
12 Te 0.427 0.000 0.079
13 Te 0.363 0.000 0.437
14 Te 0.143 0.500 0.215
15 Te 0.643 0.000 0.285
16 Te 0.357 0.500 0.715
17 Li 0.504 0.500 0.385
18 Li 0.996 0.500 0.885
19 Li 0.004 0.000 0.115
20 Li 0.496 0.000 0.615
21 Hg 0.787 0.500 0.266
22 Hg 0.213 0.000 0.734
23 Hg 0.287 0.000 0.234
24 Hg 0.713 0.500 0.766

Output
- ΔE to the lowest computed polymorph: 0.07 kcal/mol of atoms